PBEsol MgSnSe2I, optimized geometry; energy = -2.58 eV per atom; space group = P4/mmm; mass density = 4.51 Mg/m³; formation energy without anion corrections = 0.510 eV per atom
1.0
-4.892 -1.952 -0.893
2.094 -4.973 -0.602
-0.611 -0.901 5.319
Sn Se I Mg
1 2 1 1
Cartesian
-1.705 -3.913 1.912
-0.306 -0.451 2.660
1.047 -2.487 -0.301
0.000 0.000 0.000
-2.446 -0.976 -0.447

***

PBEsol MgTeSeI2, optimized geometry; energy = -2.33 eV per atom; space group = P4/mmm; mass density = 4.95 Mg/m³; formation energy without anion corrections = 0.192 eV per atom
1.0
5.323 0.000 0.000
0.000 5.323 0.000
0.000 0.000 5.740
I Se Te Mg
2 1 1 1
Cartesian
2.661 0.000 0.000
0.000 2.661 0.000
2.661 2.661 2.870
0.000 0.000 2.870
0.000 0.000 0.000

***

PBEsol MgZrSi2I, optimized geometry; energy = -4.28 eV per atom; space group = P4/mmm; mass density = 3.39 Mg/m³; formation energy without anion corrections = 0.535 eV per atom
1.0
5.121 0.000 0.000
0.000 5.121 0.000
0.000 0.000 5.573
Si Mg Zr I
2 1 1 1
Cartesian
0.000 2.561 0.000
2.561 0.000 0.000
2.561 2.561 2.786
0.000 0.000 0.000
0.000 0.000 2.786

***

PBEsol Mg2SnWI, optimized geometry; energy = -3.10 eV per atom; space group = P4/mmm; mass density = 4.76 Mg/m³; formation energy without anion corrections = 1.553 eV per atom
1.0
-1.535 -1.773 4.781
5.030 0.294 1.724
-0.926 5.540 1.757
W Mg I Sn
1 2 1 1
Cartesian
1.285 2.031 4.131
-0.768 -0.886 2.391
2.515 0.147 0.862
-0.463 2.770 0.878
0.000 0.000 0.000

***

PBEsol MgTa2I, optimized geometry; energy = -6.19 eV per atom; space group = Fm-3m; mass density = 11.19 Mg/m³; formation energy without anion corrections = 0.960 eV per atom
1.0
4.758 0.000 0.000
2.379 4.120 0.000
2.379 1.373 3.885
Ta Mg I
2 1 1
Cartesian
7.136 4.120 2.913
2.379 1.373 0.971
0.000 0.000 0.000
4.758 2.747 1.942

***

PBEsol MgTaTe2I, optimized geometry; energy = -3.69 eV per atom; space group = P4/mmm; mass density = 6.62 Mg/m³; formation energy without anion corrections = 0.931 eV per atom
1.0
-1.320 4.680 2.001
-3.391 0.751 -3.994
-3.840 -2.293 2.830
Te Mg I Ta
2 1 1 1
Cartesian
-1.696 0.376 -1.997
-1.920 -1.147 1.415
0.000 0.000 0.000
-0.660 2.340 1.001
-4.276 1.569 0.419

***

PBEsol MgTeI3, optimized geometry; energy = -2.23 eV per atom; space group = Pm-3m; mass density = 5.17 Mg/m³; formation energy without anion corrections = -0.126 eV per atom
1.0
-4.195 3.631 -0.209
-3.378 -3.772 2.278
1.347 1.848 5.059
Te I Mg
1 3 1
Cartesian
-3.113 0.854 3.564
0.674 0.924 2.530
-1.689 -1.886 1.139
-2.098 1.816 -0.105
0.000 0.000 0.000

***

PBEsol MgTeI2, optimized geometry; energy = -2.16 eV per atom; space group = Fm-3m; mass density = 5.84 Mg/m³; formation energy without anion corrections = 0.036 eV per atom
1.0
-1.278 4.148 -3.322
0.414 -0.609 -5.416
-4.512 -0.252 -3.074
I Te Mg
2 1 1
Cartesian
-1.344 0.822 -2.953
-4.033 2.466 -8.859
-2.688 1.644 -5.906
0.000 0.000 0.000

***

PBEsol MgTi3I, optimized geometry; energy = -4.42 eV per atom; space group = Pm-3m; mass density = 4.39 Mg/m³; formation energy without anion corrections = 1.267 eV per atom
1.0
4.812 0.000 0.000
0.000 4.812 0.000
0.000 0.000 4.812
Ti Mg I
3 1 1
Cartesian
2.406 0.000 0.000
0.000 2.406 0.000
0.000 0.000 2.406
0.000 0.000 0.000
2.406 2.406 2.406

***

PBEsol MgZrWI2, optimized geometry; energy = -4.68 eV per atom; space group = P4/mmm; mass density = 6.19 Mg/m³; formation energy without anion corrections = 0.950 eV per atom
1.0
5.088 0.000 0.000
0.000 5.401 0.000
0.000 0.000 5.401
I Zr W Mg
2 1 1 1
Cartesian
0.000 2.700 0.000
0.000 0.000 2.700
2.544 0.000 0.000
0.000 0.000 0.000
2.544 2.700 2.700

***

PBEsol MnI2, optimized geometry; energy = -4.75 eV per atom; space group = P-3m1; mass density = 5.23 Mg/m³; formation energy without anion corrections = -0.320 eV per atom
1.0
-3.534 0.998 1.725
2.471 -2.651 1.825
3.086 5.168 3.331
I Mn
2 1
Cartesian
1.205 -0.202 2.586
0.817 3.718 4.295
0.000 0.000 0.000

***

PBEsol MnMoI2, optimized geometry; energy = -5.39 eV per atom; space group = Fm-3m; mass density = 8.62 Mg/m³; formation energy without anion corrections = 0.880 eV per atom
1.0
4.795 0.000 0.000
2.397 4.152 0.000
2.397 1.384 3.915
Mo I Mn
1 2 1
Cartesian
4.795 2.768 1.957
2.397 1.384 0.979
7.192 4.152 2.936
0.000 0.000 0.000

***

PBEsol Mn2TlMoI, optimized geometry; energy = -5.56 eV per atom; space group = P4/mmm; mass density = 8.09 Mg/m³; formation energy without anion corrections = 1.582 eV per atom
1.0
4.685 0.000 0.000
0.000 4.685 0.000
0.000 0.000 5.021
Mn Mo I Tl
2 1 1 1
Cartesian
2.342 0.000 0.000
0.000 2.342 0.000
0.000 0.000 2.510
0.000 0.000 0.000
2.342 2.342 2.510

***

PBEsol MnNbI2N, optimized geometry; energy = -6.11 eV per atom; space group = P4/mmm; mass density = 5.60 Mg/m³; formation energy without anion corrections = 0.423 eV per atom
1.0
3.904 0.000 0.000
0.000 5.617 0.000
0.000 0.000 5.617
I Nb Mn N
2 1 1 1
Cartesian
0.000 0.000 2.809
0.000 2.809 0.000
0.000 0.000 0.000
1.952 2.809 2.809
1.952 0.000 0.000

***

PBEsol MnI2NO, optimized geometry; energy = -4.78 eV per atom; space group = P4/mmm; mass density = 5.21 Mg/m³; polymorph energy (0 for the lowest one) = 0 kJ/mol of formula units; formation energy without anion corrections = 0.632 eV per atom
1.0
-3.107 0.478 -1.568
2.114 -1.891 -4.763
-1.492 -5.156 1.385
O Mn I N
1 1 2 1
Cartesian
-1.553 0.239 -0.784
0.000 0.000 0.000
1.057 -0.945 -2.382
-0.746 -2.578 0.692
-1.242 -3.285 -2.473

***

PBEsol MnI2NO, optimized geometry; energy = -4.35 eV per atom; space group = P4/mmm; mass density = 6.46 Mg/m³; polymorph energy (0 for the lowest one) = 207 kJ/mol of formula units; formation energy without anion corrections = 1.061 eV per atom
1.0
3.740 0.000 0.000
0.000 4.826 0.000
0.000 0.000 4.826
O I Mn N
1 2 1 1
Cartesian
1.870 0.000 0.000
0.000 2.413 0.000
0.000 0.000 2.413
1.870 2.413 2.413
0.000 0.000 0.000

***

PBEsol MnOsIN2, optimized geometry; energy = -6.64 eV per atom; space group = P4/mmm; mass density = 9.25 Mg/m³; formation energy without anion corrections = 1.515 eV per atom
1.0
3.637 0.000 0.000
0.000 3.637 0.000
0.000 0.000 5.430
N Os Mn I
2 1 1 1
Cartesian
1.819 0.000 0.000
0.000 1.819 0.000
1.819 1.819 2.715
0.000 0.000 0.000
0.000 0.000 2.715

***

PBEsol MnOsI2N, optimized geometry; energy = -6.14 eV per atom; space group = P4/mmm; mass density = 7.61 Mg/m³; formation energy without anion corrections = 0.671 eV per atom
1.0
-2.730 1.520 -1.987
-2.672 -4.805 -0.005
-2.581 1.430 4.639
Os N I Mn
1 1 2 1
Cartesian
0.000 0.000 0.000
-1.365 0.760 -0.993
-1.336 -2.403 -0.002
-1.290 0.715 2.320
-3.991 -0.928 1.324

***

PBEsol MnPbIN2, optimized geometry; energy = -4.78 eV per atom; space group = P4/mmm; mass density = 6.05 Mg/m³; formation energy without anion corrections = 1.736 eV per atom
1.0
4.232 0.000 0.000
0.000 4.232 0.000
0.000 0.000 6.395
N Pb I Mn
2 1 1 1
Cartesian
0.000 2.116 0.000
2.116 0.000 0.000
0.000 0.000 0.000
0.000 0.000 3.198
2.116 2.116 3.198

***

PBEsol MnRuIN2, optimized geometry; energy = -6.61 eV per atom; space group = P4/mmm; mass density = 7.26 Mg/m³; formation energy without anion corrections = 1.142 eV per atom
1.0
-3.052 -0.361 -1.913
-0.187 -3.487 0.955
-2.906 1.355 4.381
Mn Ru N I
1 1 2 1
Cartesian
0.000 0.000 0.000
-3.072 -1.246 1.711
-0.093 -1.743 0.477
-1.526 -0.180 -0.957
-1.453 0.678 2.190

***

PBEsol MnSiI2N, optimized geometry; energy = -4.21 eV per atom; space group = P4/mmm; mass density = 4.48 Mg/m³; formation energy without anion corrections = 1.307 eV per atom
1.0
-3.454 -0.140 2.901
3.453 -0.449 4.089
0.162 5.349 0.451
I N Si Mn
2 1 1 1
Cartesian
0.081 2.675 0.225
1.726 -0.224 2.045
0.080 2.380 3.720
-1.727 -0.070 1.450
0.000 0.000 0.000

***

PBEsol MnSnIN2, optimized geometry; energy = -5.22 eV per atom; space group = P4/mmm; mass density = 5.33 Mg/m³; formation energy without anion corrections = 1.346 eV per atom
1.0
4.054 0.000 0.000
0.000 4.054 0.000
0.000 0.000 6.234
Mn Sn I N
1 1 1 2
Cartesian
2.027 2.027 3.117
0.000 0.000 0.000
0.000 0.000 3.117
0.000 2.027 0.000
2.027 0.000 0.000

***

PBEsol MnTe2IN, optimized geometry; energy = -5.17 eV per atom; space group = P4/mmm; mass density = 7.28 Mg/m³; polymorph energy (0 for the lowest one) = 0 kJ/mol of formula units; formation energy without anion corrections = 0.253 eV per atom
1.0
3.488 0.000 0.000
0.000 5.432 0.000
0.000 0.000 5.432
I Te N Mn
1 2 1 1
Cartesian
1.744 2.716 2.716
0.000 2.716 0.000
0.000 0.000 2.716
1.744 0.000 0.000
0.000 0.000 0.000

***

PBEsol MnTe2IN, optimized geometry; energy = -4.17 eV per atom; space group = P4/mmm; mass density = 5.24 Mg/m³; polymorph energy (0 for the lowest one) = 481 kJ/mol of formula units; formation energy without anion corrections = 1.249 eV per atom
1.0
5.118 0.000 0.000
0.000 5.118 0.000
0.000 0.000 5.461
Te N Mn I
2 1 1 1
Cartesian
0.000 2.559 0.000
2.559 0.000 0.000
2.559 2.559 2.731
0.000 0.000 0.000
0.000 0.000 2.731

***

PBEsol TiMnI2N, optimized geometry; energy = -5.71 eV per atom; space group = P4/mmm; mass density = 6.23 Mg/m³; formation energy without anion corrections = 0.319 eV per atom
1.0
-2.457 1.572 1.918
-3.716 -3.076 -2.239
0.682 -3.617 3.838
N Ti I Mn
1 1 2 1
Cartesian
-1.228 0.786 0.959
-2.745 -2.561 1.759
0.341 -1.809 1.919
-1.858 -1.538 -1.119
0.000 0.000 0.000

***

PBEsol MnTlI2N, optimized geometry; energy = -4.89 eV per atom; space group = P4/mmm; mass density = 7.20 Mg/m³; formation energy without anion corrections = 0.000 eV per atom
1.0
-0.243 -2.847 -2.208
1.739 -3.485 4.302
-5.523 -0.775 1.605
I Tl Mn N
2 1 1 1
Cartesian
-2.761 -0.387 0.803
0.870 -1.743 2.151
-2.013 -3.553 1.849
0.000 0.000 0.000
-0.121 -1.423 -1.104

***

PBEsol MnWI2N, optimized geometry; energy = -6.04 eV per atom; space group = P4/mmm; mass density = 9.21 Mg/m³; formation energy without anion corrections = 1.089 eV per atom
1.0
3.417 0.000 0.000
0.000 5.171 0.000
0.000 0.000 5.171
W N I Mn
1 1 2 1
Cartesian
1.708 2.586 2.586
1.708 0.000 0.000
0.000 0.000 2.586
0.000 2.586 0.000
0.000 0.000 0.000

***

PBEsol NaMnIO6, optimized geometry; energy = -6.03 eV per atom; space group = P312; mass density = 4.42 Mg/m³; formation energy without anion corrections = -1.094 eV per atom
1.0
-0.029 2.349 -4.426
-4.325 -1.190 2.233
-0.005 4.589 2.436
O I Mn Na
6 1 1 1
Cartesian
-4.334 2.920 2.288
-1.637 1.791 -0.096
-1.629 2.786 2.547
-4.339 1.637 0.188
-2.708 0.618 2.113
-2.728 3.952 0.348
-1.464 3.464 -0.988
-2.896 2.284 1.231
0.000 0.000 0.000

***

PBEsol NaMnI2O, optimized geometry; energy = -3.65 eV per atom; space group = P4/mmm; mass density = 4.43 Mg/m³; formation energy without anion corrections = 0.334 eV per atom
1.0
4.136 0.000 0.000
0.000 5.611 0.000
0.000 0.000 5.611
O I Mn Na
1 2 1 1
Cartesian
2.068 0.000 0.000
0.000 0.000 2.806
0.000 2.806 0.000
2.068 2.806 2.806
0.000 0.000 0.000